1.
VASP calculation (GGA-PBE) on a relaxed Pr2Sm3Rh2 crystal.

Computed properties:
E_form: -0.485 eV per atom
Crystal system: monoclinic

abc: 6.5140 6.5140 9.2014
angles: 114.74 114.74 34.45
Element x y z (fractional)
Pr1 0.1660 0.1660 0.3090
Pr2 0.8340 0.8340 0.6910
Sm1 0.3837 0.3837 0.0710
Sm2 0.5000 0.5000 0.5000
Sm3 0.6163 0.6163 0.9290
Rh1 0.1735 0.1735 0.7432
Rh2 0.8265 0.8265 0.2568

---

2.
VASP calculation (GGA-PBE) on a relaxed Pr2Sm2Rh3 crystal.

Computed properties:
E_form: -0.561 eV per atom
Crystal system: triclinic

abc: 4.2091 6.8874 7.1318
angles: 98.79 90.04 107.77
Element x y z (fractional)
Pr1 0.1337 0.2656 0.3628
Pr2 0.8663 0.7344 0.6372
Sm1 0.3725 0.7446 0.1034
Sm2 0.6275 0.2554 0.8966
Rh1 0.0000 0.0000 0.0000
Rh2 0.2358 0.4727 0.7447
Rh3 0.7642 0.5273 0.2553

---

3.
VASP calculation (GGA-PBE) on a relaxed Pr4SmRh2 crystal.

Computed properties:
E_form: -0.340 eV per atom
Crystal system: monoclinic

abc: 8.1141 6.6265 8.1876
angles: 90.00 113.99 90.00
Element x y z (fractional)
Pr1 0.0168 0.2500 0.3816
Pr2 0.2552 0.7500 0.3406
Pr3 0.4120 0.0048 0.7706
Pr4 0.4120 0.4952 0.7706
Pr5 0.5880 0.5048 0.2294
Pr6 0.5880 0.9952 0.2294
Pr7 0.7448 0.2500 0.6594
Pr8 0.9832 0.7500 0.6184
Sm1 0.1527 0.2500 0.0300
Sm2 0.8473 0.7500 0.9700
Rh1 0.2267 0.7500 0.9890
Rh2 0.3669 0.2500 0.4015
Rh3 0.6331 0.7500 0.5985
Rh4 0.7733 0.2500 0.0110

---

4.
VASP calculation (GGA-PBE) on a relaxed Pr3Sm2Rh2 crystal.

Computed properties:
E_form: -0.453 eV per atom
Crystal system: monoclinic

abc: 6.5299 6.5299 9.1804
angles: 114.22 114.22 35.07
Element x y z (fractional)
Pr1 0.0000 0.0000 0.0000
Pr2 0.1137 0.1137 0.4267
Pr3 0.8863 0.8863 0.5733
Sm1 0.3288 0.3288 0.1878
Sm2 0.6712 0.6712 0.8122
Rh1 0.3171 0.3171 0.7563
Rh2 0.6829 0.6829 0.2437

---

5.
VASP calculation (GGA-PBE) on a relaxed PrSm4Rh crystal.

Computed properties:
E_form: -0.212 eV per atom
Crystal system: orthorhombic

abc: 9.5178 9.5178 9.5178
angles: 143.10 132.80 61.37
Element x y z (fractional)
Pr1 0.1987 0.1987 0.0000
Pr2 0.8013 0.8013 0.0000
Sm1 0.1332 0.3844 0.7489
Sm2 0.2061 0.0000 0.2061
Sm3 0.3296 0.8296 0.5000
Sm4 0.3645 0.6156 0.7489
Sm5 0.6355 0.3844 0.2511
Sm6 0.6704 0.1704 0.5000
Sm7 0.7939 0.0000 0.7939
Sm8 0.8668 0.6156 0.2511
Rh1 0.5000 0.2675 0.7675
Rh2 0.5000 0.7325 0.2325

---

6.
VASP calculation (GGA-PBE) on a relaxed Pr3SmRh crystal.

Computed properties:
E_form: -0.105 eV per atom
Crystal system: cubic

abc: 5.6250 5.6250 5.6250
angles: 90.00 90.00 90.00
Element x y z (fractional)
Pr1 0.0000 0.0000 0.5000
Pr2 0.0000 0.5000 0.0000
Pr3 0.5000 0.0000 0.0000
Sm1 0.5000 0.5000 0.5000
Rh1 0.0000 0.0000 0.0000

---

7.
VASP calculation (GGA-PBE) on a relaxed Pr3SmRh crystal.

Computed properties:
E_form: -0.313 eV per atom
Crystal system: monoclinic

abc: 6.4931 6.4931 14.1976
angles: 113.19 113.19 34.79
Element x y z (fractional)
Pr1 0.0000 0.0000 0.0000
Pr2 0.0082 0.0082 0.3644
Pr3 0.2186 0.2186 0.8462
Pr4 0.3277 0.3277 0.1276
Pr5 0.6611 0.6611 0.2409
Pr6 0.6697 0.6697 0.6009
Sm1 0.3421 0.3421 0.4786
Sm2 0.4499 0.4499 0.7528
Rh1 0.9997 0.9997 0.6289
Rh2 0.6626 0.6626 0.9694

---

8.
VASP calculation (GGA-PBE) on a relaxed Pr2SmRh3 crystal.

Computed properties:
E_form: -0.633 eV per atom
Crystal system: orthorhombic

abc: 7.9817 7.9817 6.9993
angles: 90.00 90.00 143.12
Element x y z (fractional)
Pr1 0.0000 0.0000 0.0000
Pr2 0.0000 0.0000 0.5000
Pr3 0.3333 0.6667 0.0000
Pr4 0.6667 0.3333 0.0000
Sm1 0.3329 0.6671 0.5000
Sm2 0.6671 0.3329 0.5000
Rh1 0.1686 0.8314 0.2564
Rh2 0.1686 0.8314 0.7436
Rh3 0.5000 0.5000 0.2535
Rh4 0.5000 0.5000 0.7465
Rh5 0.8314 0.1686 0.2564
Rh6 0.8314 0.1686 0.7436

---

9.
VASP calculation (GGA-PBE) on a relaxed Pr2SmRh2 crystal.

Computed properties:
E_form: -0.477 eV per atom
Crystal system: orthorhombic

abc: 9.0764 9.0764 7.4484
angles: 90.00 90.00 153.99
Element x y z (fractional)
Pr1 0.0322 0.9678 0.5000
Pr2 0.1923 0.8077 0.2224
Pr3 0.8077 0.1923 0.7224
Pr4 0.9678 0.0322 0.0000
Sm1 0.3813 0.6187 0.3380
Sm2 0.6187 0.3813 0.8380
Rh1 0.1906 0.8094 0.6402
Rh2 0.4469 0.5531 0.6972
Rh3 0.5531 0.4469 0.1972
Rh4 0.8094 0.1906 0.1402

---

10.
VASP calculation (GGA-PBE) on a relaxed Pr3SmRh8 crystal.

Computed properties:
E_form: -0.649 eV per atom
Crystal system: trigonal

abc: 9.4022 9.4022 9.4022
angles: 33.53 33.53 33.53
Element x y z (fractional)
Pr1 0.0000 0.0000 0.0000
Pr2 0.1253 0.1253 0.1253
Pr3 0.5005 0.5005 0.5005
Sm1 0.6256 0.6256 0.6256
Rh1 0.0618 0.5626 0.5626
Rh2 0.0632 0.0632 0.5635
Rh3 0.0632 0.5635 0.0632
Rh4 0.3127 0.3127 0.3127
Rh5 0.5626 0.0618 0.5626
Rh6 0.5626 0.5626 0.0618
Rh7 0.5635 0.0632 0.0632
Rh8 0.8129 0.8129 0.8129

---

11.
VASP calculation (GGA-PBE) on a relaxed PrSmRh2 crystal.

Computed properties:
E_form: -0.690 eV per atom
Crystal system: orthorhombic

abc: 4.2643 5.8221 5.8221
angles: 39.43 90.00 90.00
Element x y z (fractional)
Pr1 0.0000 0.0000 0.0000
Sm1 0.5000 0.7175 0.7175
Rh1 0.0000 0.2716 0.2716
Rh2 0.5000 0.4414 0.4414

---

12.
VASP calculation (GGA-PBE) on a relaxed PrSm2Rh2 crystal.

Computed properties:
E_form: -0.541 eV per atom
Crystal system: monoclinic

abc: 6.1394 6.1394 5.7370
angles: 105.60 105.60 40.25
Element x y z (fractional)
Pr1 0.0000 0.0000 0.0000
Sm1 0.3392 0.3392 0.3705
Sm2 0.6608 0.6608 0.6295
Rh1 0.3079 0.3079 0.8568
Rh2 0.6921 0.6921 0.1432

---

13.
VASP calculation (GGA-PBE) on a relaxed PrSmRh crystal.

Computed properties:
E_form: -0.454 eV per atom
Crystal system: cubic

abc: 4.9445 4.9445 4.9445
angles: 60.00 60.00 60.00
Element x y z (fractional)
Pr1 0.0000 0.0000 0.0000
Sm1 0.5000 0.5000 0.5000
Rh1 0.2500 0.2500 0.2500

---

14.
VASP calculation (GGA-PBE) on a relaxed PrSm2Rh9 crystal.

Computed properties:
E_form: -0.523 eV per atom
Crystal system: trigonal

abc: 9.3467 9.3467 9.3467
angles: 33.07 33.07 33.07
Element x y z (fractional)
Pr1 0.0000 0.0000 0.0000
Sm1 0.1391 0.1391 0.1391
Sm2 0.8609 0.8609 0.8609
Rh1 0.0827 0.5820 0.5820
Rh2 0.3328 0.3328 0.3328
Rh3 0.4180 0.4180 0.9173
Rh4 0.4180 0.9173 0.4180
Rh5 0.5000 0.5000 0.5000
Rh6 0.5820 0.0827 0.5820
Rh7 0.5820 0.5820 0.0827
Rh8 0.6672 0.6672 0.6672
Rh9 0.9173 0.4180 0.4180

---

15.
VASP calculation (GGA-PBE) on a relaxed PrSmRh crystal.

Computed properties:
E_form: -0.422 eV per atom
Crystal system: tetragonal

abc: 7.0445 7.0445 7.0445
angles: 150.75 150.75 41.84
Element x y z (fractional)
Pr1 0.0000 0.0000 0.0000
Sm1 0.2555 0.2555 0.0000
Rh1 0.6338 0.6338 0.0000

---

16.
VASP calculation (GGA-PBE) on a relaxed PrSmRh crystal.

Computed properties:
E_form: -0.434 eV per atom
Crystal system: monoclinic

abc: 7.0577 6.1376 10.5845
angles: 90.00 128.99 90.00
Element x y z (fractional)
Pr1 0.1854 0.1346 0.3824
Pr2 0.1854 0.3654 0.8824
Pr3 0.8146 0.6346 0.1176
Pr4 0.8146 0.8654 0.6176
Sm1 0.3351 0.6192 0.6312
Sm2 0.3351 0.8808 0.1312
Sm3 0.6649 0.1192 0.8688
Sm4 0.6649 0.3808 0.3688
Rh1 0.3351 0.6705 0.3668
Rh2 0.3351 0.8295 0.8668
Rh3 0.6649 0.1705 0.1332
Rh4 0.6649 0.3295 0.6332

---

17.
VASP calculation (GGA-PBE) on a relaxed Pr2SmRh2 crystal.

Computed properties:
E_form: -0.567 eV per atom
Crystal system: tetragonal

abc: 7.7986 7.7986 4.1571
angles: 90.00 90.00 90.00
Element x y z (fractional)
Pr1 0.1615 0.3385 0.0000
Pr2 0.3385 0.8385 0.0000
Pr3 0.6615 0.1615 0.0000
Pr4 0.8385 0.6615 0.0000
Sm1 0.0000 0.0000 0.5000
Sm2 0.5000 0.5000 0.5000
Rh1 0.1409 0.6409 0.5000
Rh2 0.3591 0.1409 0.5000
Rh3 0.6409 0.8591 0.5000
Rh4 0.8591 0.3591 0.5000

---

18.
VASP calculation (GGA-PBE) on a relaxed PrSm3Rh4 crystal.

Computed properties:
E_form: -0.684 eV per atom
Crystal system: orthorhombic

abc: 3.4382 5.0265 10.0633
angles: 90.00 90.00 90.00
Element x y z (fractional)
Pr1 0.0000 0.0000 0.0000
Sm1 0.0000 0.0000 0.5000
Sm2 0.0000 0.5000 0.2520
Sm3 0.0000 0.5000 0.7480
Rh1 0.5000 0.0000 0.2552
Rh2 0.5000 0.0000 0.7448
Rh3 0.5000 0.5000 0.0000
Rh4 0.5000 0.5000 0.5000

---

19.
VASP calculation (GGA-PBE) on a relaxed Pr2SmRh3 crystal.

Computed properties:
E_form: -0.497 eV per atom
Crystal system: orthorhombic

abc: 7.0760 7.0760 7.0760
angles: 146.13 131.57 60.41
Element x y z (fractional)
Pr1 0.1679 0.1679 0.0000
Pr2 0.8321 0.8321 0.0000
Sm1 0.5000 0.5000 0.0000
Rh1 0.0000 0.5000 0.5000
Rh2 0.3388 0.8388 0.5000
Rh3 0.6612 0.1612 0.5000

---

20.
VASP calculation (GGA-PBE) on a relaxed PrSm4Rh4 crystal.

Computed properties:
E_form: -0.583 eV per atom
Crystal system: tetragonal

abc: 9.0135 9.0135 5.7358
angles: 90.00 90.00 90.00
Element x y z (fractional)
Pr1 0.2500 0.2500 0.2500
Pr2 0.7500 0.7500 0.7500
Sm1 0.0694 0.6591 0.1678
Sm2 0.1591 0.9306 0.6678
Sm3 0.3409 0.5694 0.6678
Sm4 0.4306 0.8409 0.1678
Sm5 0.5694 0.1591 0.8322
Sm6 0.6591 0.4306 0.3322
Sm7 0.8409 0.0694 0.3322
Sm8 0.9306 0.3409 0.8322
Rh1 0.0342 0.6238 0.6628
Rh2 0.1238 0.9658 0.1628
Rh3 0.3762 0.5342 0.1628
Rh4 0.4658 0.8762 0.6628
Rh5 0.5342 0.1238 0.3372
Rh6 0.6238 0.4658 0.8372
Rh7 0.8762 0.0342 0.8372
Rh8 0.9658 0.3762 0.3372

---

21.
VASP calculation (GGA-PBE) on a relaxed PrSmRh crystal.

Computed properties:
E_form: -0.516 eV per atom
Crystal system: monoclinic

abc: 6.6364 6.6364 8.4674
angles: 123.68 123.68 33.67
Element x y z (fractional)
Pr1 0.1683 0.1683 0.0826
Pr2 0.8317 0.8317 0.9174
Sm1 0.4173 0.4173 0.6075
Sm2 0.5827 0.5827 0.3925
Rh1 0.1229 0.1229 0.7007
Rh2 0.8771 0.8771 0.2993

---

22.
VASP calculation (GGA-PBE) on a relaxed Pr2SmSn3Rh4 crystal.

Computed properties:
E_form: -0.725 eV per atom
Crystal system: tetragonal

abc: 4.4505 4.4505 11.5031
angles: 90.00 90.00 90.00
Element x y z (fractional)
Pr1 0.0000 0.5000 0.2298
Pr2 0.5000 0.0000 0.7702
Sm1 0.0000 0.0000 0.5000
Sn1 0.0000 0.5000 0.8755
Sn2 0.5000 0.0000 0.1245
Sn3 0.5000 0.5000 0.5000
Rh1 0.0000 0.0000 0.0000
Rh2 0.0000 0.5000 0.6489
Rh3 0.5000 0.0000 0.3511
Rh4 0.5000 0.5000 0.0000

---

23.
VASP calculation (GGA-PBE) on a relaxed PrSmZnRh crystal.

Computed properties:
E_form: -0.515 eV per atom
Crystal system: orthorhombic

abc: 4.4450 5.8164 5.8164
angles: 40.49 90.00 90.00
Element x y z (fractional)
Pr1 0.0000 0.0000 0.0000
Sm1 0.5000 0.7220 0.7220
Zn1 0.5000 0.4282 0.4282
Rh1 0.0000 0.2862 0.2862

---

24.
VASP calculation (GGA-PBE) on a relaxed Pr2Sm2ZnRh4 crystal.

Computed properties:
E_form: -0.371 eV per atom
Crystal system: tetragonal

abc: 6.4707 6.4707 6.4707
angles: 116.24 116.24 96.65
Element x y z (fractional)
Pr1 0.2500 0.7500 0.5000
Pr2 0.7500 0.2500 0.5000
Sm1 0.1863 0.1863 0.0000
Sm2 0.8137 0.8137 0.0000
Zn1 0.5000 0.5000 0.0000
Rh1 0.2408 0.2408 0.4816
Rh2 0.2408 0.7592 0.0000
Rh3 0.7592 0.2408 0.0000
Rh4 0.7592 0.7592 0.5184